# 1
Density functional theory data (GGA-PBE) for a relaxed La5Tb2Er3 crystal.

abc: 10.1935 10.1791 9.2082
angles: 108.37 108.43 115.43
With the nearest neighbours (Å) after each atom.
Fractional coordinates of all 20 atoms:
Tb 0.7143 0.2761 0.2402  3 Er 3.27-3.50, 4 La 3.47-3.58
Er 0.4734 0.5320 0.7526  1 Tb 3.27, 5 La 3.44-3.58, 1 Er 3.52
Er 0.7793 0.2207 0.7526  1 Tb 3.27, 5 La 3.44-3.58, 1 Er 3.52
La 0.4766 0.2266 0.4531  1 Er 3.07
La 0.1209 0.3660 0.2381  2 Er 3.41-3.77, 3 La 3.45-3.56, 1 Tb 3.79
La 0.3828 0.1278 0.7619  2 Er 3.41-3.77, 3 La 3.45-3.56, 1 Tb 3.79
Er 0.7302 0.9802 0.9604  3 La 3.07-3.41, 2 Tb 3.40
Tb 0.9741 0.0360 0.7598  3 Er 3.27-3.50, 4 La 3.47-3.58
La 0.7732 0.5232 0.0465  3 La 3.11-3.45, 2 Er 3.44, 2 Tb 3.47
Er 0.5266 0.4680 0.2474  1 Tb 3.27, 5 La 3.44-3.58, 1 Er 3.52
Er 0.2698 0.0198 0.0396  3 La 3.07-3.41, 2 Tb 3.40
Tb 0.2857 0.7239 0.7598  3 Er 3.27-3.50, 4 La 3.47-3.58
La 0.0175 0.2675 0.5350  1 La 3.11, 2 Tb 3.47
La 0.9825 0.7325 0.4650  1 La 3.11, 2 Tb 3.47
Er 0.2207 0.7793 0.2474  1 Tb 3.27, 5 La 3.44-3.58, 1 Er 3.52
La 0.8791 0.6340 0.7619  2 Er 3.41-3.77, 3 La 3.45-3.56, 1 Tb 3.79
La 0.6172 0.8722 0.2381  2 Er 3.41-3.77, 3 La 3.45-3.56, 1 Tb 3.79
La 0.5234 0.7734 0.5469  1 Er 3.07
La 0.2268 0.4768 0.9535  3 La 3.11-3.45, 2 Er 3.44, 2 Tb 3.47
Tb 0.0259 0.9640 0.2402  3 Er 3.27-3.50, 4 La 3.47-3.58

Values from the calculation:
formation energy from the elements: 0.162 eV/atom
symmetry: C2/c, No. 15

---

# 2
Density functional theory data (GGA-PBE) for a relaxed LaTbEr2 crystal.

abc: 5.0285 5.0909 5.0909
angles: 90.00 90.00 90.00
With the nearest neighbours (Å) after each atom.
Fractional coordinates of all 4 atoms:
Er 0.0000 0.5000 0.0000  4 La 3.58, 4 Tb 3.58, 4 Er 3.60
La 0.5000 0.0000 0.0000  8 Er 3.58, 4 Tb 3.60
Er 0.0000 0.0000 0.5000  4 Tb 3.58, 4 La 3.58, 4 Er 3.60
Tb 0.5000 0.5000 0.5000  8 Er 3.58, 4 La 3.60

Values from the calculation:
formation energy from the elements: 0.034 eV/atom
symmetry: P4/mmm, No. 123
E above lowest polymorph: 0.021 eV per atom

---

# 3
Density functional theory data (GGA-PBE) for a relaxed La12Tb6Er crystal.

abc: 9.3360 9.3360 9.3360
angles: 106.82 106.82 106.82
With the nearest neighbours (Å) after each atom.
Fractional coordinates of all 19 atoms:
Tb 0.9093 0.8062 0.5618  6 La 3.35-3.64, 1 Er 3.68
La 0.8854 0.1845 0.7151  3 La 3.35-3.74, 3 Tb 3.41-3.64, 1 Er 3.64
La 0.4140 0.5109 0.8070  6 La 3.35-3.74, 3 Tb 3.35-3.58
La 0.5860 0.4891 0.1930  6 La 3.35-3.74, 3 Tb 3.35-3.58
La 0.8155 0.2849 0.1146  3 La 3.35-3.74, 3 Tb 3.41-3.64, 1 Er 3.64
La 0.8070 0.4140 0.5109  6 La 3.35-3.74, 3 Tb 3.35-3.58
Tb 0.1938 0.4382 0.0907  6 La 3.35-3.64, 1 Er 3.68
La 0.1930 0.5860 0.4891  6 La 3.35-3.74, 3 Tb 3.35-3.58
Tb 0.4382 0.0907 0.1938  6 La 3.35-3.64, 1 Er 3.68
Er 0.0000 0.0000 0.0000  6 La 3.64, 6 Tb 3.68
Tb 0.5618 0.9093 0.8062  6 La 3.35-3.64, 1 Er 3.68
La 0.7151 0.8854 0.1845  3 La 3.35-3.74, 3 Tb 3.41-3.64, 1 Er 3.64
Tb 0.0907 0.1938 0.4382  6 La 3.35-3.64, 1 Er 3.68
La 0.2849 0.1146 0.8155  3 La 3.35-3.74, 3 Tb 3.41-3.64, 1 Er 3.64
La 0.1146 0.8155 0.2849  3 La 3.35-3.74, 3 Tb 3.41-3.64, 1 Er 3.64
Tb 0.8062 0.5618 0.9093  6 La 3.35-3.64, 1 Er 3.68
La 0.4891 0.1930 0.5860  6 La 3.35-3.74, 3 Tb 3.35-3.58
La 0.5109 0.8070 0.4140  6 La 3.35-3.74, 3 Tb 3.35-3.58
La 0.1845 0.7151 0.8854  3 La 3.35-3.74, 3 Tb 3.41-3.64, 1 Er 3.64

Values from the calculation:
formation energy from the elements: 0.219 eV/atom
symmetry: R-3, No. 148

---

# 4
Density functional theory data (GGA-PBE) for a relaxed La3Tb12Er crystal.

abc: 5.0839 5.0839 20.3374
angles: 90.00 90.00 90.00
With the nearest neighbours (Å) after each atom.
Fractional coordinates of all 16 atoms:
Tb 0.0000 0.5000 0.8782  8 Tb 3.55-3.60, 2 Er 3.55, 2 La 3.63
Tb 0.5000 0.5000 0.0000  8 Tb 3.55, 4 Er 3.59
Tb 0.0000 0.5000 0.3741  4 La 3.59-3.61, 8 Tb 3.59-3.62
Tb 0.5000 0.5000 0.5000  4 La 3.59, 8 Tb 3.61
La 0.0000 0.0000 0.5000  12 Tb 3.59-3.61
Tb 0.0000 0.5000 0.6259  4 La 3.59-3.61, 8 Tb 3.59-3.62
Tb 0.5000 0.0000 0.3741  4 La 3.59-3.61, 8 Tb 3.59-3.62
Tb 0.5000 0.0000 0.1218  2 Er 3.55, 8 Tb 3.55-3.60, 2 La 3.63
Tb 0.5000 0.5000 0.2474  4 La 3.60, 8 Tb 3.60-3.62
La 0.0000 0.0000 0.2493  12 Tb 3.59-3.63
Tb 0.5000 0.5000 0.7526  4 La 3.60, 8 Tb 3.60-3.62
Tb 0.0000 0.5000 0.1218  8 Tb 3.55-3.60, 2 Er 3.55, 2 La 3.63
Er 0.0000 0.0000 0.0000  12 Tb 3.55-3.59
La 0.0000 0.0000 0.7507  12 Tb 3.59-3.63
Tb 0.5000 0.0000 0.6259  4 La 3.59-3.61, 8 Tb 3.59-3.62
Tb 0.5000 0.0000 0.8782  8 Tb 3.55-3.60, 2 Er 3.55, 2 La 3.63

Values from the calculation:
formation energy from the elements: 0.026 eV/atom
symmetry: P4/mmm, No. 123

---

# 5
Density functional theory data (GGA-PBE) for a relaxed La6TbEr5 crystal.

abc: 5.2373 11.1830 9.6239
angles: 54.48 74.24 62.12
With the nearest neighbours (Å) after each atom.
Fractional coordinates of all 12 atoms:
Er 0.0000 0.6672 0.6656  8 La 3.59-3.60, 4 Er 3.69-3.70
La 0.2485 0.2514 0.0001  6 Er 3.59-3.60, 2 Tb 3.61, 4 La 3.70
Er 0.5000 0.5000 0.0000  8 La 3.59, 4 Er 3.70
Er 0.0000 0.3328 0.3344  8 La 3.59-3.60, 4 Er 3.69-3.70
La 0.7515 0.7486 0.9999  6 Er 3.59-3.60, 2 Tb 3.61, 4 La 3.70
Er 0.5000 0.8335 0.3331  8 La 3.59-3.61, 2 Er 3.69, 2 Tb 3.70
La 0.7493 0.4173 0.6667  7 Er 3.59-3.61, 1 Tb 3.60, 4 La 3.70
La 0.2507 0.5827 0.3333  7 Er 3.59-3.61, 1 Tb 3.60, 4 La 3.70
Tb 0.0000 0.0000 0.0000  8 La 3.60-3.61, 4 Er 3.70
Er 0.5000 0.1665 0.6669  8 La 3.59-3.61, 2 Er 3.69, 2 Tb 3.70
La 0.7493 0.0840 0.3334  7 Er 3.59-3.61, 1 Tb 3.60, 4 La 3.70
La 0.2507 0.9160 0.6666  7 Er 3.59-3.61, 1 Tb 3.60, 4 La 3.70

Values from the calculation:
formation energy from the elements: 0.023 eV/atom
symmetry: Immm, No. 71
E above lowest polymorph: 0.000 eV per atom

---

# 6
Density functional theory data (GGA-PBE) for a relaxed LaTbEr3 crystal.

abc: 5.4959 10.3271 11.8261
angles: 90.00 90.00 90.00
With the nearest neighbours (Å) after each atom.
Fractional coordinates of all 20 atoms:
La 0.9999 0.2500 0.0515  5 Er 3.28-3.65
Tb 0.0000 0.5000 0.5000  6 Er 3.28-3.64
La 0.5001 0.2500 0.5515  5 Er 3.28-3.65
Er 0.0006 0.5639 0.1934  5 Er 3.33-3.62, 2 La 3.48-3.65, 3 Tb 3.63-3.69
Er 0.9994 0.0639 0.8066  5 Er 3.33-3.62, 2 La 3.48-3.65, 3 Tb 3.63-3.69
Tb 0.5000 0.0000 0.0000  6 Er 3.28-3.64
Tb 0.5000 0.5000 0.0000  6 Er 3.28-3.64
Er 0.5006 0.0639 0.3066  5 Er 3.33-3.62, 2 La 3.48-3.65, 3 Tb 3.63-3.69
Er 0.4994 0.5639 0.6934  5 Er 3.33-3.62, 2 La 3.48-3.65, 3 Tb 3.63-3.69
Er 0.0006 0.9361 0.1934  5 Er 3.33-3.62, 2 La 3.48-3.65, 3 Tb 3.63-3.69
Er 0.5006 0.4361 0.3066  5 Er 3.33-3.62, 2 La 3.48-3.65, 3 Tb 3.63-3.69
La 0.0001 0.7500 0.9485  5 Er 3.28-3.65
Er 0.4994 0.9361 0.6934  5 Er 3.33-3.62, 2 La 3.48-3.65, 3 Tb 3.63-3.69
Er 0.0007 0.2500 0.3288  1 La 3.28, 2 Tb 3.28, 6 Er 3.36-3.62
Er 0.5007 0.7500 0.1712  1 La 3.28, 2 Tb 3.28, 6 Er 3.36-3.62
Er 0.4993 0.2500 0.8288  1 La 3.28, 2 Tb 3.28, 6 Er 3.36-3.62
La 0.4999 0.7500 0.4485  5 Er 3.28-3.65
Er 0.9994 0.4361 0.8066  5 Er 3.33-3.62, 2 La 3.48-3.65, 3 Tb 3.63-3.69
Tb 0.0000 0.0000 0.5000  6 Er 3.28-3.64
Er 0.9993 0.7500 0.6712  1 La 3.28, 2 Tb 3.28, 6 Er 3.36-3.62

Values from the calculation:
formation energy from the elements: 0.180 eV/atom
symmetry: Cmcm, No. 63
E above lowest polymorph: 0.000 eV per atom

---

# 7
Density functional theory data (GGA-PBE) for a relaxed La4Tb4Er3 crystal.

abc: 3.6324 9.5229 12.0779
angles: 113.22 98.65 90.00
With the nearest neighbours (Å) after each atom.
Fractional coordinates of all 11 atoms:
Tb 0.5000 0.8143 0.0000  6 Er 3.40-3.50, 2 La 3.46, 3 Tb 3.54-3.63
Er 0.0000 0.5000 0.0000  4 Tb 3.50, 2 Er 3.63
Tb 0.2661 0.7661 0.5322  2 Er 3.38, 6 La 3.60-3.71, 2 Tb 3.63
Tb 0.5000 0.1857 0.0000  6 Er 3.40-3.50, 2 La 3.46, 3 Tb 3.54-3.63
Er 0.1035 0.1035 0.2070  6 Tb 3.38-3.40, 2 Er 3.63, 4 La 3.75
La 0.3552 0.5245 0.7105  1 La 3.22, 3 Tb 3.46-3.60
La 0.3552 0.1860 0.7105  1 La 3.22, 3 Tb 3.46-3.60
La 0.6448 0.4755 0.2895  1 La 3.22, 3 Tb 3.46-3.60
Tb 0.7339 0.2339 0.4678  2 Er 3.38, 6 La 3.60-3.71, 2 Tb 3.63
Er 0.8965 0.8965 0.7930  6 Tb 3.38-3.40, 2 Er 3.63, 4 La 3.75
La 0.6448 0.8140 0.2895  1 La 3.22, 3 Tb 3.46-3.60

Values from the calculation:
formation energy from the elements: 0.119 eV/atom
symmetry: Immm, No. 71
E above lowest polymorph: 0.055 eV per atom

---

# 8
Density functional theory data (GGA-PBE) for a relaxed La8Tb2Er crystal.

abc: 6.0696 9.6134 9.6134
angles: 122.35 105.57 105.57
With the nearest neighbours (Å) after each atom.
Fractional coordinates of all 11 atoms:
La 0.1833 0.0954 0.3326  3 La 3.29-3.65, 2 Tb 3.60-3.63
La 0.7012 0.4198 0.4198  3 La 3.06-3.29, 1 Er 3.37
La 0.5000 0.2056 0.7944  1 Er 3.46, 2 Tb 3.51, 6 La 3.72-3.76
La 0.8167 0.6674 0.9046  3 La 3.29-3.65, 2 Tb 3.60-3.63
La 0.8167 0.9046 0.6674  3 La 3.29-3.65, 2 Tb 3.60-3.63
Er 0.5000 0.0000 0.0000  4 La 3.37-3.46
La 0.2988 0.5802 0.5802  3 La 3.06-3.29, 1 Er 3.37
La 0.1833 0.3326 0.0954  3 La 3.29-3.65, 2 Tb 3.60-3.63
La 0.5000 0.7944 0.2056  1 Er 3.46, 2 Tb 3.51, 6 La 3.72-3.76
Tb 0.0000 0.3108 0.6892  10 La 3.51-3.89
Tb 0.0000 0.6892 0.3108  10 La 3.51-3.89

Values from the calculation:
formation energy from the elements: 0.126 eV/atom
symmetry: C2/m, No. 12

---

| no. | V (Å³ per atom) |
| --- | --- |
| 1 | 34.8 |
| 2 | 32.6 |
| 3 | 35.8 |
| 4 | 32.9 |
| 5 | 33.8 |
| 6 | 33.6 |
| 7 | 34.4 |
| 8 | 35.8 |